[1]
Computed, not measured: a relaxed SmPu2Tc crystal at the PBE level of DFT.

POSCAR file:
```
SmPu2Tc
1.0
18.693 0.000 0.000
0.000 6.799 0.000
0.000 0.000 6.120
Sm Pu Tc
8 16 8
Cartesian
2.014 1.700 1.264
2.676 5.099 2.627
6.670 1.700 5.687
7.332 5.099 4.324
11.360 1.700 1.797
12.022 5.099 0.433
16.017 1.700 3.493
16.679 5.099 4.857
0.650 0.232 4.472
0.650 3.167 4.472
4.003 3.671 5.574
4.003 6.528 5.574
5.344 0.271 2.514
5.344 3.128 2.514
8.696 3.632 1.412
8.696 6.567 1.412
9.997 0.232 4.708
9.997 3.167 4.708
13.349 3.671 3.606
13.349 6.528 3.606
14.690 0.271 0.546
14.690 3.128 0.546
18.043 3.632 1.648
18.043 6.567 1.648
1.361 5.099 6.009
3.294 1.700 4.100
6.052 5.099 1.040
7.986 1.700 2.949
10.707 5.099 3.172
12.641 1.700 5.080
15.398 5.099 2.020
17.332 1.700 0.112
```

calculated formation energy: 0.086 eV per atom
energy above the lowest structure with this stoichiometry: 0.0 kJ/mol of formula units

[2]
Computed, not measured: a relaxed Pr2TeSe2 crystal at the PBE level of DFT.

POSCAR file:
```
Pr2TeSe2
1.0
5.394 0.000 0.000
2.683 7.636 0.000
2.695 -0.011 8.289
Pr Te Se
4 2 4
Cartesian
2.015 3.738 2.071
2.016 0.074 2.069
8.756 7.551 6.220
8.757 3.887 6.218
6.059 5.719 6.220
4.713 1.905 2.068
3.361 5.722 3.710
4.712 1.898 7.848
6.060 5.726 0.441
7.411 1.903 4.578
```

energy above the lowest structure with this stoichiometry: 72.9 kJ/mol of formula units
formation energy from raw total energies: -1.4457 eV per atom

[3]
Computed, not measured: a relaxed PmSmMgOs crystal at the PBE level of DFT.

POSCAR file:
```
PmSmMgOs
1.0
0.000 3.614 3.614
3.614 0.000 3.614
3.614 3.614 0.000
Pm Sm Mg Os
1 1 1 1
Cartesian
0.000 0.000 0.000
3.614 3.614 3.614
5.421 5.421 5.421
1.807 1.807 1.807
```

calculated formation energy: -0.032 eV per atom

[4]
Computed, not measured: a relaxed AcTmCd2Hg4 crystal at the PBE level of DFT.

POSCAR file:
```
AcTmCd2Hg4
1.0
2.594 1.498 8.711
-2.594 1.498 8.711
0.000 -2.996 8.711
Ac Tm Cd Hg
1 1 2 4
Cartesian
0.000 0.000 0.000
0.000 0.000 13.066
0.000 0.000 6.503
0.000 0.000 19.629
0.000 0.000 3.416
0.000 0.000 10.033
0.000 0.000 16.099
0.000 0.000 22.716
```

calculated formation energy: -0.366 eV per atom

Copy entry 4 word for word.
Computed, not measured: a relaxed AcTmCd2Hg4 crystal at the PBE level of DFT.

POSCAR file:
```
AcTmCd2Hg4
1.0
2.594 1.498 8.711
-2.594 1.498 8.711
0.000 -2.996 8.711
Ac Tm Cd Hg
1 1 2 4
Cartesian
0.000 0.000 0.000
0.000 0.000 13.066
0.000 0.000 6.503
0.000 0.000 19.629
0.000 0.000 3.416
0.000 0.000 10.033
0.000 0.000 16.099
0.000 0.000 22.716
```

calculated formation energy: -0.366 eV per atom